Li2NbTc SCAN single point on PBEsol structure; space-group type = Fm-3m; formation enthalpy at 0 K = 2.471 eV/f.u.
1.0
0.000 2.974 2.974
2.974 0.000 2.974
2.974 2.974 0.000
Li Nb Tc
2 1 1
Cartesian
1.487 1.487 1.487
4.461 4.461 4.461
0.000 0.000 0.000
2.974 2.974 2.974

***

LiNb3Te SCAN single point on PBEsol structure; space-group type = Pm-3m; calculated total energy = -132.02 eV for the cell shown
1.0
5.039 0.000 0.000
0.000 5.039 0.000
0.000 0.000 5.039
Li Nb Te
1 3 1
Cartesian
0.000 0.000 0.000
0.000 2.520 2.520
2.520 0.000 2.520
2.520 2.520 0.000
2.520 2.520 2.520

***

LiYNb3 SCAN single point on PBEsol structure; space-group type = Pm-3m; formation enthalpy at 0 K = 5.141 eV/f.u.
1.0
4.584 0.000 0.000
0.000 4.584 0.000
0.000 0.000 4.584
Li Y Nb
1 1 3
Cartesian
0.000 0.000 0.000
2.292 2.292 2.292
0.000 0.000 2.292
0.000 2.292 0.000
2.292 0.000 0.000

***

LiYNb3 SCAN single point on PBEsol structure; space-group type = Pm-3m; formation enthalpy at 0 K = 10.249 eV/f.u.
1.0
4.910 0.000 0.000
0.000 4.910 0.000
0.000 0.000 4.910
Li Y Nb
1 1 3
Cartesian
0.000 0.000 0.000
2.455 2.455 2.455
0.000 2.455 2.455
2.455 0.000 2.455
2.455 2.455 0.000

***

Li2YNb SCAN single point on PBEsol structure; space-group type = I-42d; formation enthalpy at 0 K = 2.765 eV/f.u.
1.0
-1.982 1.982 11.169
1.982 -1.982 11.169
1.982 1.982 -11.169
Li Y Nb
4 2 2
Cartesian
2.974 0.886 -2.792
0.886 0.991 2.792
-0.991 1.096 8.377
1.096 0.991 13.961
1.982 0.000 5.584
0.000 0.000 11.169
0.000 0.000 0.000
0.000 1.982 5.584

***

LiNdP4O12 SCAN single point on PBEsol structure; space-group type = C2/c; calculated total energy = -420.32 eV for the cell shown
1.0
8.338 -3.508 0.000
8.338 3.508 0.000
-6.105 0.000 8.040
Li Nd P O
2 2 8 24
Cartesian
0.000 0.000 0.000
-3.053 0.000 4.020
3.759 1.960 6.030
6.811 -1.960 2.010
0.286 2.343 7.308
4.048 0.419 2.734
7.232 2.343 4.752
0.995 -0.419 6.754
9.575 0.419 1.286
3.338 -2.343 3.288
6.522 -0.419 5.306
10.284 -2.343 0.732
0.772 0.840 1.631
6.546 2.924 0.642
7.076 2.924 3.378
3.337 0.687 1.319
3.861 1.605 3.636
0.078 0.758 7.372
-2.280 -0.840 5.651
0.285 -0.687 5.339
9.762 1.605 0.384
2.367 0.051 6.421
5.420 -0.051 2.401
3.131 -0.758 3.353
7.439 0.758 4.687
5.150 0.051 5.639
8.203 -0.051 1.619
0.808 -1.605 7.656
10.285 0.687 2.701
12.851 0.840 2.389
10.492 -0.758 0.667
6.710 -1.605 4.404
7.233 -0.687 6.720
3.494 -2.924 4.662
4.024 -2.924 7.398
9.798 -0.840 6.408

***

LiNd2RuO6 SCAN single point on PBEsol structure; space-group type = P2_1/c; calculated total energy = -377.74 eV for the cell shown
1.0
5.366 0.000 0.000
0.000 5.729 0.000
-5.301 0.000 7.644
Li Nd Ru O
2 4 2 12
Cartesian
0.000 0.000 0.000
-2.650 2.865 3.822
-2.725 0.407 5.726
-0.075 2.458 1.904
0.140 3.271 5.740
2.790 5.322 1.918
0.033 0.000 3.822
2.683 2.865 0.000
-1.558 1.072 3.470
-4.208 1.792 7.292
-0.954 4.079 3.437
-3.604 4.514 7.259
0.516 0.154 1.948
-2.135 2.711 5.770
2.200 3.018 1.874
-0.450 5.575 5.696
3.669 1.215 0.384
1.019 1.650 4.206
4.273 3.937 0.352
1.623 4.657 4.174

***

Li3Nd3Te2O12 SCAN single point on PBEsol structure; space-group type = Ia-3d; calculated total energy = -1352.86 eV for the cell shown
1.0
-6.273 6.273 6.273
6.273 -6.273 6.273
6.273 6.273 -6.273
Li Nd Te O
12 12 8 48
Cartesian
9.409 1.568 0.000
6.273 -3.136 4.705
4.705 6.273 -3.136
4.705 0.000 3.136
3.136 4.705 0.000
6.273 3.136 1.568
0.000 3.136 4.705
3.136 1.568 6.273
1.568 6.273 3.136
1.568 0.000 9.409
0.000 9.409 1.568
-3.136 4.705 6.273
3.136 1.568 0.000
6.273 3.136 -1.568
1.568 0.000 3.136
7.841 0.000 3.136
0.000 3.136 1.568
3.136 -1.568 6.273
3.136 7.841 0.000
6.273 3.136 4.705
-1.568 6.273 3.136
4.705 6.273 3.136
0.000 3.136 7.841
3.136 4.705 6.273
0.000 0.000 0.000
3.136 3.136 -3.136
3.136 -3.136 3.136
6.273 0.000 0.000
-3.136 3.136 3.136
0.000 6.273 0.000
0.000 0.000 6.273
3.136 3.136 3.136
1.806 -0.343 0.636
7.603 3.773 -3.479
8.079 0.343 0.636
7.603 -2.500 3.479
5.930 -0.636 1.806
9.752 -1.330 2.500
0.636 1.806 -0.343
8.773 2.794 -1.330
3.773 3.479 -1.330
5.637 1.806 0.343
-0.343 0.636 1.806
3.479 -1.330 3.773
5.930 5.637 -1.806
3.479 1.330 2.500
3.773 -3.479 7.603
5.637 -1.806 5.930
2.500 3.479 1.330
6.909 4.467 0.343
3.479 7.603 -2.500
5.930 0.636 4.467
1.806 5.930 -0.636
7.603 2.500 2.794
1.330 2.500 3.479
1.806 0.343 5.637
4.467 5.930 0.636
4.943 3.773 2.794
-1.330 3.773 3.479
4.467 0.343 6.909
0.343 5.637 1.806
2.794 -1.330 8.773
-0.636 1.806 5.930
3.773 2.794 4.943
0.636 8.079 0.343
2.500 9.752 -1.330
2.794 4.943 3.773
0.343 0.636 8.079
2.794 7.603 2.500
6.616 5.637 4.467
0.636 4.467 5.930
2.500 2.794 7.603
-2.500 3.479 7.603
5.637 4.467 6.616
-3.479 7.603 3.773
0.343 6.909 4.467
-1.330 8.773 2.794
-1.806 5.930 5.637
-1.330 2.500 9.752
4.467 6.616 5.637

***

LiNdW2O8 SCAN single point on PBEsol structure; space-group type = P-1; calculated total energy = -535.08 eV for the cell shown
1.0
7.053 0.000 0.000
-0.113 7.340 0.000
-3.216 -3.096 5.968
Li Nd W O
2 2 4 16
Cartesian
0.073 0.895 2.949
3.650 3.349 3.019
2.045 5.099 0.247
1.679 -0.855 5.721
-1.504 -1.690 4.686
0.115 3.722 2.805
3.609 0.522 3.163
5.227 5.934 1.282
-1.476 -0.254 2.934
-0.489 2.628 1.489
-0.050 5.337 1.425
-1.675 -3.003 5.856
-0.053 2.530 4.143
-0.776 -0.281 5.589
0.335 -2.088 4.140
1.875 3.823 2.410
1.849 0.421 3.558
3.389 6.332 1.828
4.500 4.525 0.379
3.777 1.714 1.825
5.398 7.247 0.112
3.774 -1.093 4.543
4.213 1.616 4.479
5.200 4.498 3.034

***

Li3Nd3W2O12 SCAN single point on PBEsol structure; space-group type = Ia-3d; calculated total energy = -1645.35 eV for the cell shown
1.0
-6.212 6.212 6.212
6.212 -6.212 6.212
6.212 6.212 -6.212
Li Nd W O
12 12 8 48
Cartesian
9.319 1.553 0.000
6.212 -3.106 4.659
4.659 6.212 -3.106
4.659 0.000 3.106
3.106 4.659 0.000
6.212 3.106 1.553
0.000 3.106 4.659
3.106 1.553 6.212
1.553 6.212 3.106
1.553 0.000 9.319
0.000 9.319 1.553
-3.106 4.659 6.212
3.106 1.553 0.000
6.212 3.106 -1.553
1.553 0.000 3.106
7.765 0.000 3.106
0.000 3.106 1.553
3.106 -1.553 6.212
3.106 7.765 0.000
6.212 3.106 4.659
-1.553 6.212 3.106
4.659 6.212 3.106
0.000 3.106 7.765
3.106 4.659 6.212
0.000 0.000 0.000
3.106 3.106 -3.106
3.106 -3.106 3.106
6.212 0.000 0.000
-3.106 3.106 3.106
0.000 6.212 0.000
0.000 0.000 6.212
3.106 3.106 3.106
1.783 -0.360 0.652
7.536 3.758 -3.466
7.995 0.360 0.652
7.536 -2.454 3.466
5.853 -0.652 1.783
9.678 -1.323 2.454
0.652 1.783 -0.360
8.666 2.747 -1.323
3.758 3.466 -1.323
5.560 1.783 0.360
-0.360 0.652 1.783
3.466 -1.323 3.758
5.853 5.560 -1.783
3.466 1.323 2.454
3.758 -3.466 7.536
5.560 -1.783 5.853
2.454 3.466 1.323
6.865 4.429 0.360
3.466 7.536 -2.454
5.853 0.652 4.429
1.783 5.853 -0.652
7.536 2.454 2.747
1.323 2.454 3.466
1.783 0.360 5.560
4.429 5.853 0.652
4.889 3.758 2.747
-1.323 3.758 3.466
4.429 0.360 6.865
0.360 5.560 1.783
2.747 -1.323 8.666
-0.652 1.783 5.853
3.758 2.747 4.889
0.652 7.995 0.360
2.454 9.678 -1.323
2.747 4.889 3.758
0.360 0.652 7.995
2.747 7.536 2.454
6.572 5.560 4.429
0.652 4.429 5.853
2.454 2.747 7.536
-2.454 3.466 7.536
5.560 4.429 6.572
-3.466 7.536 3.758
0.360 6.865 4.429
-1.323 8.666 2.747
-1.783 5.853 5.560
-1.323 2.454 9.678
4.429 6.572 5.560

***

LiNdW2O8 SCAN single point on PBEsol structure; space-group type = I-4; calculated total energy = -267.36 eV for the cell shown
1.0
-2.616 2.616 5.572
2.616 -2.616 5.572
2.616 2.616 -5.572
Li Nd W O
1 1 2 8
Cartesian
0.000 0.000 0.000
2.616 0.000 2.786
0.000 0.000 5.572
0.000 2.616 2.786
1.370 1.783 -0.996
3.450 1.370 0.996
0.823 1.345 1.807
1.246 0.834 4.577
-1.271 1.793 3.766
-0.834 1.246 6.568
-0.823 3.888 1.807
1.271 3.440 3.766

***

LiNd2Os SCAN single point on PBEsol structure; space-group type = Fm-3m; formation enthalpy at 0 K = -0.667 eV/f.u.
1.0
0.000 3.526 3.526
3.526 0.000 3.526
3.526 3.526 0.000
Li Nd Os
1 2 1
Cartesian
0.000 0.000 0.000
1.763 1.763 1.763
5.288 5.288 5.288
3.526 3.526 3.526

***

Short version: magnetization = 0.0, 0.0, 0.0, 0.0, 3.7, 0.0, 6.0, 0.0, 0.0, 0.0, 0.0, 0.0 Bohr magnetons per cell, in the order given.